[1]
# BeCu2Br

BeCu2Br at its PBEsol-relaxed geometry (SCAN, Alexandria via LeMat-Bulk).

Cell: 3.412 3.412 10.223 Å, 90.00 90.00 90.00°
Space group I-4m2 (No. 119)
Unique sites:
Be 0.000 0.000 0.000 [2 per cell]
Cu 0.000 0.000 0.500 [2 per cell]
Cu 0.000 0.500 0.750 [2 per cell]
Br 0.000 0.500 0.250 [2 per cell]

Calculated values
Energy relative to the elements, uncorrected, eV/atom: 0.615
Magnetization, μB/cell: 0.0
E, eV/atom: -12.938

[2]
# Be2HgBrF

Be2HgBrF at its PBEsol-relaxed geometry (SCAN, Alexandria via LeMat-Bulk).

Cell: 4.436 4.436 6.266 Å, 90.00 90.00 90.00°
Space group P4/mmm (No. 123)
Unique sites:
Be 0.000 0.500 0.000 [2 per cell]
Hg 0.000 0.000 0.500 [1 per cell]
Br 0.000 0.000 0.000 [1 per cell]
F 0.500 0.500 0.500 [1 per cell]

Calculated values
Energy relative to the elements, uncorrected, eV/atom: 0.854
Magnetization, μB/cell: 0.0
E, eV/atom: -19.120

What did the first record say?
# BeCu2Br

BeCu2Br at its PBEsol-relaxed geometry (SCAN, Alexandria via LeMat-Bulk).

Cell: 3.412 3.412 10.223 Å, 90.00 90.00 90.00°
Space group I-4m2 (No. 119)
Unique sites:
Be 0.000 0.000 0.000 [2 per cell]
Cu 0.000 0.000 0.500 [2 per cell]
Cu 0.000 0.500 0.750 [2 per cell]
Br 0.000 0.500 0.250 [2 per cell]

Calculated values
Energy relative to the elements, uncorrected, eV/atom: 0.615
Magnetization, μB/cell: 0.0
E, eV/atom: -12.938